Entry 1:
Crystalline La2Tb5Dy4 at its relaxed geometry, computed with GGA-PBE.

abc: 6.7047 8.9488 10.2526
angles: 40.47 70.91 68.00
Atoms (fractional coordinates):
La: 0.2003 0.8971 0.7023
La: 0.7997 0.1029 0.2977
Tb: 0.1751 0.2700 0.9064
Tb: 0.8249 0.7300 0.0936
Tb: 0.0000 0.5000 0.5000
Tb: 0.6486 0.2700 0.9064
Tb: 0.3514 0.7300 0.0936
Dy: 0.4133 0.7675 0.4059
Dy: 0.5867 0.2325 0.5941
Dy: 0.7565 0.6809 0.8062
Dy: 0.2435 0.3191 0.1938

Output
Its symmetry is C2/m (12). The value obtained for the excess energy over the best structure of this formula in the dataset is 6 meV/atom. The formation energy comes out at 0.1533 eV/atom. Its crystal system is monoclinic.

***

Entry 2:
Crystalline LaTbDy5 at its relaxed geometry, computed with GGA-PBE.

abc: 6.8008 6.8008 13.7274
angles: 61.52 61.52 60.35
Atoms (fractional coordinates):
La: 0.7229 0.2771 0.7500
La: 0.2771 0.7229 0.2500
Tb: 0.0000 0.0000 0.0000
Tb: 0.0000 0.0000 0.5000
Dy: 0.1631 0.3961 0.7511
Dy: 0.6421 0.6967 0.5003
Dy: 0.3961 0.1631 0.2511
Dy: 0.1582 0.8418 0.7500
Dy: 0.3033 0.3579 0.9997
Dy: 0.6967 0.6421 0.0003
Dy: 0.8418 0.1582 0.2500
Dy: 0.6039 0.8369 0.7489
Dy: 0.3579 0.3033 0.4997
Dy: 0.8369 0.6039 0.2489

Output
Its symmetry is C2/c (15). The value obtained for the excess energy over the best structure of this formula in the dataset is 0 meV/atom. The formation energy comes out at 0.1959 eV/atom. Its crystal system is monoclinic.

***

Entry 3:
Crystalline La7TbDy2 at its relaxed geometry, computed with GGA-PBE.

abc: 3.5411 10.5257 10.5256
angles: 108.99 90.00 90.00
Atoms (fractional coordinates):
La: 0.0000 0.6802 0.3198
La: 0.0000 0.3198 0.6802
La: 0.5000 0.1251 0.3851
La: 0.5000 0.8749 0.6149
La: 0.5000 0.3851 0.1251
La: 0.5000 0.6149 0.8749
La: 0.5000 0.5000 0.5000
Tb: 0.0000 0.0000 0.0000
Dy: 0.5000 0.8349 0.1651
Dy: 0.5000 0.1651 0.8349

Output
Its symmetry is Cmmm (65). The value obtained for the excess energy over the best structure of this formula in the dataset is 0 meV/atom. The formation energy comes out at 0.3294 eV/atom. Its crystal system is orthorhombic.

***

Entry 4:
Crystalline La3Tb3Dy2 at its relaxed geometry, computed with GGA-PBE.

abc: 5.0874 5.1525 10.9262
angles: 103.64 103.46 90.00
Atoms (fractional coordinates):
La: 0.6252 0.6252 0.2504
La: 0.3748 0.3748 0.7496
La: 0.5000 0.0000 0.0000
Tb: 0.1281 0.1281 0.2562
Tb: 0.0000 0.5000 0.0000
Tb: 0.8719 0.8719 0.7438
Dy: 0.7489 0.2489 0.4978
Dy: 0.2511 0.7511 0.5022

Output
Its symmetry is Immm (71). The value obtained for the excess energy over the best structure of this formula in the dataset is 6 meV/atom. The formation energy comes out at 0.0294 eV/atom. Its crystal system is orthorhombic.

***

Entry 5:
Crystalline La5Tb2Dy at its relaxed geometry, computed with GGA-PBE.

abc: 9.0829 9.0829 9.3807
angles: 118.96 118.96 90.00
Atoms (fractional coordinates):
La: 0.4827 0.6845 0.6673
La: 0.8155 0.0173 0.3327
La: 0.0000 0.0000 0.0000
La: 0.5000 0.5000 0.0000
La: 0.1845 0.9827 0.6673
La: 0.6845 0.1845 0.6673
La: 0.9827 0.4827 0.6673
La: 0.3155 0.8155 0.3327
La: 0.0173 0.5173 0.3327
La: 0.5173 0.3155 0.3327
Tb: 0.1458 0.3542 0.0000
Tb: 0.6458 0.1458 0.0000
Tb: 0.3542 0.8542 0.0000
Tb: 0.8542 0.6458 0.0000
Dy: 0.7500 0.7500 0.5000
Dy: 0.2500 0.2500 0.5000

Output
Its symmetry is I4/mcm (140). The formation energy comes out at 0.1258 eV/atom. Its crystal system is tetragonal.

***

Entry 6:
Crystalline La4Tb3Dy2 at its relaxed geometry, computed with GGA-PBE.

abc: 3.6912 6.7806 14.7011
angles: 64.23 90.00 105.79
Atoms (fractional coordinates):
La: 0.6478 0.2956 0.1279
La: 0.1121 0.2241 0.6063
La: 0.8879 0.7759 0.3937
La: 0.3522 0.7044 0.8721
Tb: 0.3819 0.7638 0.6122
Tb: 0.0000 0.0000 0.0000
Tb: 0.6181 0.2362 0.3878
Dy: 0.3372 0.6745 0.2090
Dy: 0.6628 0.3255 0.7910

Output
Its symmetry is C2/m (12). The formation energy comes out at 0.0842 eV/atom. Its crystal system is monoclinic.

***

Entry 7:
Crystalline LaTb4Dy15 at its relaxed geometry, computed with GGA-PBE.

abc: 5.0325 5.0325 25.1545
angles: 90.00 90.00 90.00
Atoms (fractional coordinates):
La: 0.0000 0.0000 0.0000
Tb: 0.0000 0.0000 0.2012
Tb: 0.0000 0.0000 0.4006
Tb: 0.0000 0.0000 0.5994
Tb: 0.0000 0.0000 0.7988
Dy: 0.5000 0.5000 0.0000
Dy: 0.5000 0.5000 0.2021
Dy: 0.5000 0.5000 0.4005
Dy: 0.5000 0.5000 0.5995
Dy: 0.5000 0.5000 0.7979
Dy: 0.5000 0.0000 0.1024
Dy: 0.5000 0.0000 0.3012
Dy: 0.5000 0.0000 0.5000
Dy: 0.5000 0.0000 0.6988
Dy: 0.5000 0.0000 0.8976
Dy: 0.0000 0.5000 0.1024
Dy: 0.0000 0.5000 0.3012
Dy: 0.0000 0.5000 0.5000
Dy: 0.0000 0.5000 0.6988
Dy: 0.0000 0.5000 0.8976

Output
Its symmetry is P4/mmm (123). The formation energy comes out at 0.0204 eV/atom. Its crystal system is tetragonal.

***

Entry 8:
Crystalline La3TbDy2Te6 at its relaxed geometry, computed with GGA-PBE.

abc: 7.7018 7.7018 7.8314
angles: 99.43 99.43 120.30
Atoms (fractional coordinates):
La: 0.1660 0.8340 0.5000
La: 0.8340 0.1660 0.5000
La: 0.5000 0.5000 0.5000
Tb: 0.0000 0.0000 0.0000
Dy: 0.3335 0.6665 0.0000
Dy: 0.6665 0.3335 0.0000
Te: 0.9223 0.5877 0.7663
Te: 0.7433 0.7433 0.2333
Te: 0.0777 0.4123 0.2337
Te: 0.5877 0.9223 0.7663
Te: 0.2567 0.2567 0.7667
Te: 0.4123 0.0777 0.2337

Output
Its symmetry is C2/m (12). The value obtained for the formation energy from raw total energies is -1.45 eV per atom. Its crystal system is monoclinic.

***

Entry 9:
Crystalline La2TbDy3Te6 at its relaxed geometry, computed with GGA-PBE.

abc: 4.4068 8.9263 9.9252
angles: 103.50 102.83 90.00
Atoms (fractional coordinates):
La: 0.8332 0.6663 0.6664
La: 0.1668 0.3337 0.3336
Tb: 0.5000 0.0000 0.0000
Dy: 0.5000 0.5000 0.0000
Dy: 0.8293 0.1651 0.6586
Dy: 0.1707 0.8349 0.3414
Te: 0.3350 0.9290 0.6701
Te: 0.6626 0.5927 0.3252
Te: 0.6650 0.0710 0.3299
Te: 0.9946 0.2483 0.9891
Te: 0.0054 0.7517 0.0109
Te: 0.3374 0.4073 0.6748

Output
Its symmetry is C2/m (12). The value obtained for the formation energy from raw total energies is -1.39 eV per atom. Its crystal system is monoclinic.

***

Entry 10:
Crystalline La2Tb3DyTe6 at its relaxed geometry, computed with GGA-PBE.

abc: 4.4163 8.9308 9.9230
angles: 103.06 102.86 90.00
Atoms (fractional coordinates):
La: 0.8330 0.6660 0.6660
La: 0.1670 0.3340 0.3340
Tb: 0.5000 0.5000 0.0000
Tb: 0.8287 0.1652 0.6575
Tb: 0.1713 0.8348 0.3425
Dy: 0.5000 0.0000 0.0000
Te: 0.3361 0.9285 0.6722
Te: 0.6628 0.5918 0.3256
Te: 0.6639 0.0715 0.3278
Te: 0.9948 0.2460 0.9896
Te: 0.0052 0.7540 0.0104
Te: 0.3372 0.4082 0.6744

Output
Its symmetry is C2/m (12). The value obtained for the formation energy from raw total energies is -1.40 eV per atom. Its crystal system is monoclinic.

***

Entry 11:
Crystalline La3Tb2DyTe6 at its relaxed geometry, computed with GGA-PBE.

abc: 4.4445 9.0109 10.0239
angles: 103.76 102.81 90.00
Atoms (fractional coordinates):
La: 0.5000 0.5000 0.0000
La: 0.8328 0.1670 0.6657
La: 0.1672 0.8330 0.3343
Tb: 0.8332 0.6667 0.6663
Tb: 0.1668 0.3333 0.3337
Dy: 0.5000 0.0000 0.0000
Te: 0.3374 0.9088 0.6747
Te: 0.6700 0.5744 0.3399
Te: 0.6626 0.0912 0.3253
Te: 0.0032 0.2402 0.0064
Te: 0.9968 0.7598 0.9936
Te: 0.3300 0.4256 0.6601

Output
Its symmetry is C2/m (12). The value obtained for the formation energy from raw total energies is -1.45 eV per atom. Its crystal system is monoclinic.

***

Entry 12:
Crystalline La3Tb3DyTe8 at its relaxed geometry, computed with GGA-PBE.

abc: 8.8667 8.8670 8.9596
angles: 119.66 89.99 120.00
Atoms (fractional coordinates):
La: 0.0000 0.0000 0.0000
La: 0.0000 0.5000 0.0000
La: 0.5000 0.5000 0.0000
Tb: 0.5000 0.0000 0.5000
Tb: 0.5000 0.5000 0.5000
Tb: 0.0000 0.5000 0.5000
Dy: 0.0000 0.0000 0.5000
Te: 0.2548 0.5096 0.2645
Te: 0.7452 0.4904 0.7355
Te: 0.7500 0.5000 0.2598
Te: 0.2500 0.5000 0.7402
Te: 0.7501 0.0098 0.2599
Te: 0.2499 0.9902 0.7401
Te: 0.2597 0.0098 0.2599
Te: 0.7403 0.9902 0.7401

Output
Its symmetry is R-3m (166). The value obtained for the formation energy from raw total energies is -1.48 eV per atom. Its crystal system is trigonal.

***

Entry 13:
Crystalline LaTb3Dy2Te6 at its relaxed geometry, computed with GGA-PBE.

abc: 4.3793 8.8556 9.8333
angles: 102.81 102.87 90.00
Atoms (fractional coordinates):
La: 0.5000 0.0000 0.0000
Tb: 0.5000 0.5000 0.0000
Tb: 0.8384 0.1686 0.6768
Tb: 0.1616 0.8314 0.3232
Dy: 0.8345 0.6693 0.6690
Dy: 0.1655 0.3307 0.3310
Te: 0.3273 0.9131 0.6546
Te: 0.6679 0.5821 0.3358
Te: 0.6727 0.0869 0.3454
Te: 0.0023 0.2615 0.0047
Te: 0.9977 0.7385 0.9953
Te: 0.3321 0.4179 0.6642

Output
Its symmetry is C2/m (12). The value obtained for the formation energy from raw total energies is -1.34 eV per atom. Its crystal system is monoclinic.

***

Entry 14:
Crystalline La2TbDyTe5 at its relaxed geometry, computed with GGA-PBE.

abc: 5.5431 5.5431 11.5768
angles: 90.00 90.00 90.00
Atoms (fractional coordinates):
La: 0.5000 0.5000 0.3271
La: 0.5000 0.5000 0.6729
Tb: 0.0000 0.0000 0.5000
Dy: 0.0000 0.0000 0.0000
Te: 0.0000 0.5000 0.5000
Te: 0.5000 0.0000 0.5000
Te: 0.0000 0.0000 0.7555
Te: 0.0000 0.0000 0.2445
Te: 0.5000 0.5000 0.0000

Output
Its symmetry is P4/mmm (123). The value obtained for the formation energy from raw total energies is -0.94 eV per atom. Its crystal system is tetragonal.

***

Entry 15:
Crystalline LaTb2DyTe6 at its relaxed geometry, computed with GGA-PBE.

abc: 7.8353 7.8354 8.3944
angles: 62.18 62.18 59.99
Atoms (fractional coordinates):
La: 0.8172 0.8172 0.5484
Tb: 0.5114 0.5113 0.4660
Tb: 0.0083 0.0083 0.9752
Dy: 0.3220 0.3220 0.0340
Te: 0.6034 0.2338 0.2468
Te: 0.2338 0.9159 0.2469
Te: 0.9160 0.6034 0.2469
Te: 0.3954 0.7302 0.7504
Te: 0.7302 0.1239 0.7504
Te: 0.1239 0.3955 0.7504

Output
Its symmetry is R3 (146). The value obtained for the formation energy from raw total energies is -1.40 eV per atom. Its crystal system is trigonal.

***

Entry 16:
Crystalline La3Tb6Dy2Th at its relaxed geometry, computed with GGA-PBE.

abc: 6.2441 6.2441 11.9264
angles: 95.01 95.01 119.99
Atoms (fractional coordinates):
La: 0.1674 0.8326 0.5000
La: 0.8326 0.1674 0.5000
La: 0.5000 0.5000 0.5000
Tb: 0.9186 0.5883 0.7559
Tb: 0.7514 0.7514 0.2445
Tb: 0.0814 0.4117 0.2441
Tb: 0.5883 0.9186 0.7559
Tb: 0.2486 0.2486 0.7555
Tb: 0.4117 0.0814 0.2441
Dy: 0.3333 0.6667 0.0000
Dy: 0.6667 0.3333 0.0000
Th: 0.0000 0.0000 0.0000

Output
Its symmetry is C2/m (12). The formation energy comes out at 0.0216 eV/atom. Its crystal system is monoclinic.

***

Entry 17:
Crystalline La2TbDy4Th at its relaxed geometry, computed with GGA-PBE.

abc: 5.1472 5.1353 11.2277
angles: 62.82 90.00 90.00
Atoms (fractional coordinates):
La: 0.0000 0.0000 0.0000
La: 0.5000 0.0000 0.5000
Tb: 0.5000 0.5000 0.0000
Dy: 0.0000 0.7547 0.7453
Dy: 0.0000 0.2453 0.2547
Dy: 0.5000 0.7455 0.2545
Dy: 0.5000 0.2545 0.7455
Th: 0.0000 0.5000 0.5000

Output
Its symmetry is Pmmm (47). The formation energy comes out at 0.0356 eV/atom. Its crystal system is orthorhombic.

***

Entry 18:
Crystalline La2TbDy5Th at its relaxed geometry, computed with GGA-PBE.

abc: 5.6449 10.3047 10.9362
angles: 90.00 90.00 105.90
Atoms (fractional coordinates):
La: 0.8834 0.7667 0.8173
La: 0.1149 0.2299 0.7340
La: 0.1166 0.2333 0.3173
La: 0.8851 0.7701 0.2340
Tb: 0.7984 0.5969 0.5081
Tb: 0.2016 0.4031 0.0081
Dy: 0.3912 0.7825 0.0210
Dy: 0.7183 0.4366 0.8107
Dy: 0.4804 0.9609 0.7376
Dy: 0.2989 0.5977 0.7076
Dy: 0.9853 0.9705 0.5270
Dy: 0.6088 0.2175 0.5210
Dy: 0.2817 0.5634 0.3107
Dy: 0.5196 0.0391 0.2376
Dy: 0.7011 0.4023 0.2076
Dy: 0.0147 0.0295 0.0270
Th: 0.5824 0.1647 0.9607
Th: 0.4176 0.8353 0.4607

Output
Its symmetry is Cmc2_1 (36). The formation energy comes out at 0.1628 eV/atom. Its crystal system is orthorhombic.

***

Entry 19:
Crystalline LaTbDy5Th2 at its relaxed geometry, computed with GGA-PBE.

abc: 8.9209 8.9209 9.8931
angles: 116.80 116.80 90.00
Atoms (fractional coordinates):
La: 0.2500 0.2500 0.5000
La: 0.7500 0.7500 0.5000
Tb: 0.2500 0.7500 0.5000
Tb: 0.7500 0.2500 0.5000
Dy: 0.9294 0.4294 0.2718
Dy: 0.6575 0.1575 0.7282
Dy: 0.0706 0.5706 0.7282
Dy: 0.1575 0.0706 0.7282
Dy: 0.5706 0.6575 0.7282
Dy: 0.8425 0.9294 0.2718
Dy: 0.4294 0.3425 0.2718
Dy: 0.3425 0.8425 0.2718
Dy: 0.5000 0.5000 0.0000
Dy: 0.0000 0.0000 0.0000
Th: 0.1187 0.3813 0.0000
Th: 0.6187 0.1187 0.0000
Th: 0.3813 0.8813 0.0000
Th: 0.8813 0.6187 0.0000

Output
Its symmetry is I4/mcm (140). The formation energy comes out at 0.3243 eV/atom. Its crystal system is tetragonal.

***

Entry 20:
Crystalline LaTb2Dy4Th at its relaxed geometry, computed with GGA-PBE.

abc: 5.0956 5.0795 11.2536
angles: 63.19 90.00 90.00
Atoms (fractional coordinates):
La: 0.5000 0.5000 0.0000
Tb: 0.0000 0.0000 0.0000
Tb: 0.5000 0.0000 0.5000
Dy: 0.0000 0.7562 0.7437
Dy: 0.0000 0.2438 0.2563
Dy: 0.5000 0.7429 0.2567
Dy: 0.5000 0.2571 0.7433
Th: 0.0000 0.5000 0.5000

Output
Its symmetry is Pmmm (47). The formation energy comes out at 0.0367 eV/atom. Its crystal system is orthorhombic.

***

no.,total moment (μB per formula unit),final energy (eV per atom)
1,0.00,-4.5207
2,0.00,-4.4567
3,0.00,-4.5033
4,0.00,-4.7052
5,0.00,-4.6867
6,0.00,-4.6719
7,0.00,-4.6036
8,0.00,-5.4059
9,0.00,-5.3188
10,0.00,-5.3326
11,0.00,-5.4115
12,0.00,-5.3758
13,0.00,-5.2510
14,1.17,-4.8040
15,0.00,-5.1648
16,0.00,-4.9107
17,0.00,-5.0036
18,0.00,-4.8278
19,0.00,-4.9433
20,0.00,-4.9653